(1)
The following is a PBE-GGA calculation of crystalline Rb3PuZn2O8 at its relaxed geometry, from Alexandria.

Structure (POSCAR):
```
Rb3PuZn2O8
1.0
5.989 0.000 0.000
-2.994 5.186 0.000
0.000 0.000 8.138
Rb Pu Zn O
3 1 2 8
Direct
0.000 0.000 0.000
0.333 0.667 0.689
0.667 0.333 0.311
0.000 0.000 0.500
0.333 0.667 0.258
0.667 0.333 0.742
0.158 0.316 0.357
0.158 0.842 0.357
0.316 0.158 0.643
0.333 0.667 0.027
0.667 0.333 0.973
0.684 0.842 0.357
0.842 0.158 0.643
0.842 0.684 0.643
```

Summary:
As for the formation energy from raw total energies: -1.564 eV per atom. Its space group is No. 164. As for the crystal system: trigonal. Its density of states at the Fermi level is 7.0 states/eV per cell.

=====

(2)
The following is a PBE-GGA calculation of crystalline HfTiSe2Br at its relaxed geometry, from Alexandria.

Structure (POSCAR):
```
HfTiSe2Br
1.0
5.178 0.000 0.000
0.000 5.178 0.000
0.000 0.000 5.174
Hf Ti Se Br
1 1 2 1
Direct
0.000 0.000 0.000
0.500 0.500 0.500
0.000 0.500 0.000
0.500 0.000 0.000
0.000 0.000 0.500
```

Summary:
As for the formation energy from raw total energies: -0.253 eV per atom. Its space group is No. 123. As for the crystal system: tetragonal. Its energy above the lowest structure with this stoichiometry is 0.000 eV per atom. Its density of states at the Fermi level is 4.4 states/eV per cell.

=====

(3)
The following is a PBE-GGA calculation of crystalline Sr2BiSbMo at its relaxed geometry, from Alexandria.

Structure (POSCAR):
```
Sr2BiSbMo
1.0
6.160 0.000 0.000
0.000 6.160 0.000
0.000 0.000 5.194
Sr Bi Sb Mo
2 1 1 1
Direct
0.000 0.500 0.000
0.500 0.000 0.000
0.000 0.000 0.500
0.500 0.500 0.000
0.500 0.500 0.500
```

Summary:
As for the formation energy from raw total energies: 0.234 eV per atom. Its space group is No. 123. As for the crystal system: tetragonal. Its density of states at the Fermi level is 4.5 states/eV per cell.